LiInGePd | PBE | optimized geometry

Properties
Theoretical density: 7339 kg/m³
VASP energy: -3.9651 eV per atom

Cell: 4.5830 4.5830 4.5830 Å, 60.00 60.00 60.00°
With the nearest neighbours (Å) after each atom.
Fractional positions:
Li 0.0000 0.0000 0.0000  4 In 2.81, 4 Ge 2.81
In 0.7500 0.7500 0.7500  4 Pd 2.81, 4 Li 2.81
Ge 0.2500 0.2500 0.2500  4 Pd 2.81, 4 Li 2.81
Pd 0.5000 0.5000 0.5000  4 Ge 2.81, 4 In 2.81

Li4InGePd2 | PBE | optimized geometry

Properties
Theoretical density: 5908 kg/m³
VASP energy: -3.6941 eV per atom

Cell: 4.3823 4.3823 6.2651 Å, 90.00 90.00 90.00°
With the nearest neighbours (Å) after each atom.
Fractional positions:
Li 0.0000 0.0000 0.0000  4 Pd 2.61, 4 Li 2.63
Li 0.0000 0.5000 0.2320  2 Ge 2.63, 4 Li 2.63-2.76, 2 In 2.76, 1 Pd 2.87
Li 0.5000 0.0000 0.7680  2 Ge 2.63, 4 Li 2.63-2.76, 2 In 2.76, 1 Pd 2.87
Li 0.5000 0.5000 0.5000  4 Li 2.76, 4 Pd 2.78
In 0.0000 0.0000 0.5000  4 Li 2.76, 4 Pd 2.78
Ge 0.5000 0.5000 0.0000  4 Pd 2.61, 4 Li 2.63
Pd 0.0000 0.5000 0.7740  2 Ge 2.61, 5 Li 2.61-2.87, 2 In 2.78
Pd 0.5000 0.0000 0.2260  2 Ge 2.61, 5 Li 2.61-2.87, 2 In 2.78

Li4Zn2InGe | PBE | optimized geometry

Properties
Theoretical density: 4605 kg/m³
VASP energy: -2.4897 eV per atom

Cell: 4.4061 4.4061 6.4269 Å, 90.00 90.00 90.00°
With the nearest neighbours (Å) after each atom.
Fractional positions:
Li 0.0000 0.0000 0.0000  4 Li 2.66, 4 Zn 2.69
Li 0.0000 0.5000 0.2327  2 Ge 2.66, 4 Li 2.66-2.79, 2 In 2.79
Li 0.5000 0.0000 0.7673  2 Ge 2.66, 4 Li 2.66-2.79, 2 In 2.79
Li 0.5000 0.5000 0.5000  4 Zn 2.77, 4 Li 2.79
Zn 0.0000 0.5000 0.7608  2 Ge 2.69, 4 Li 2.69-2.77, 2 In 2.77
Zn 0.5000 0.0000 0.2392  2 Ge 2.69, 4 Li 2.69-2.77, 2 In 2.77
In 0.0000 0.0000 0.5000  4 Zn 2.77, 4 Li 2.79
Ge 0.5000 0.5000 0.0000  4 Li 2.66, 4 Zn 2.69

Lu4InGe | PBE | optimized geometry

Properties
Theoretical density: 7674 kg/m³
VASP energy: -4.2391 eV per atom

Cell: 6.4699 6.4699 4.5869 Å, 90.00 90.00 90.22°
With the nearest neighbours (Å) after each atom.
Fractional positions:
Lu 0.1825 0.8175 0.0000  2 Ge 2.84, 1 In 2.91
Lu 0.2992 0.2992 0.5000  1 Ge 2.73, 2 In 2.94
Lu 0.7008 0.7008 0.5000  1 Ge 2.73, 2 In 2.94
Lu 0.8175 0.1825 0.0000  2 Ge 2.84, 1 In 2.91
In 0.5000 0.5000 0.0000  6 Lu 2.91-2.94
Ge 0.0000 0.0000 0.5000  6 Lu 2.73-2.84